(1)
Computed, not measured: Ac4Te2S3 after structural relaxation at the PBE level of DFT.

```
18
Lattice="-3.068 -0.847 7.511 6.745 -3.952 2.310 5.039 7.725 -1.501" Properties=species:S:1:pos:R:3 pbc="T T T"
Ac 7.556 3.624 5.710
Ac -0.374 -1.121 6.366
Ac 1.160 -0.698 2.610
Ac 9.091 4.047 1.955
Ac 7.856 -0.857 3.112
Ac 0.861 3.783 5.208
Ac 5.182 2.574 2.407
Ac 3.535 0.352 5.914
Te 4.636 -0.727 1.812
Te 4.081 3.653 6.509
Te 3.278 5.445 1.953
Te 5.439 -2.519 6.367
S 0.000 0.000 0.000
S 1.839 -2.399 4.910
S 6.312 1.032 4.910
S 0.871 1.471 7.166
S 2.405 1.894 3.411
S 7.846 1.455 1.154
```

density of states at the Fermi level: 0.339 states/eV/atom
raw total energy: -5.724 eV per atom
space-group type: No. 64
crystal system: orthorhombic

(2)
Computed, not measured: AcTe2S6 after structural relaxation at the PBE level of DFT.

```
18
Lattice="-4.111 4.932 5.700 0.483 1.634 11.755 2.391 10.064 5.838" Properties=species:S:1:pos:R:3 pbc="T T T"
Ac 0.764 8.647 9.123
Ac -2.001 7.983 14.170
Te 2.194 10.052 13.488
Te -1.058 5.513 5.972
Te -3.431 6.578 9.806
Te -0.178 11.117 17.321
S 0.188 7.809 12.039
S 0.455 5.579 8.949
S -1.425 8.821 11.254
S -1.691 11.051 14.344
S -2.164 8.762 17.183
S -2.239 5.426 12.405
S 0.927 7.868 6.110
S 1.003 11.204 10.888
S 1.692 12.075 14.622
S -0.230 4.932 3.825
S -2.929 4.555 8.671
S -1.007 11.698 19.468
```

density of states at the Fermi level: 0.365 states/eV/atom
raw total energy: -4.374 eV per atom
space-group type: No. 15
crystal system: monoclinic

(3)
Computed, not measured: AcThTe2S after structural relaxation at the PBE level of DFT.

```
10
Lattice="4.601 0.000 0.000 0.000 4.601 0.000 0.000 0.000 15.872" Properties=species:S:1:pos:R:3 pbc="T T T"
Ac 2.301 0.000 9.651
Ac 0.000 2.301 6.220
Th 2.301 0.000 1.551
Th 0.000 2.301 14.320
Te 0.000 2.301 11.302
Te 0.000 2.301 1.744
Te 2.301 0.000 14.127
Te 2.301 0.000 4.569
S 0.000 0.000 7.936
S 2.301 2.301 7.936
```

density of states at the Fermi level: 0.523 states/eV/atom
raw total energy: -5.849 eV per atom
space-group type: No. 129
crystal system: tetragonal

(4)
Computed, not measured: AcTlTeS after structural relaxation at the PBE level of DFT.

```
4
Lattice="4.481 0.000 0.000 2.240 3.880 0.000 2.240 1.293 8.302" Properties=species:S:1:pos:R:3 pbc="T T T"
Ac 4.481 2.587 7.633
Tl 2.240 1.293 3.319
Te 6.721 3.880 5.398
S 4.481 2.587 0.786
```

raw total energy: -4.660 eV per atom
space-group type: No. 160
E above lowest polymorph: 0.0 meV per atom
crystal system: trigonal